No. 1
NiTe5 | GGA-PBE | relaxed

Values from the calculation:
N(E_F)	2.0641	states/eV per atom
raw formation energy	0.86	eV/atom
polymorph energy (0 for the lowest one)	0.888	eV/atom

Cell and atoms, written as extended XYZ:
```
6
Lattice="0.000 4.426 4.426 4.426 0.000 4.426 4.426 4.426 0.000" Properties=species:S:1:pos:R:3 pbc="T T T"
Te 5.531 5.531 5.531
Te 3.321 3.321 5.531
Ni 0.000 0.000 0.000
Te 3.321 5.531 3.321
Te 2.213 2.213 2.213
Te 5.531 3.321 3.321
```


No. 2
Ag2BP2 | GGA-PBE | relaxed

Values from the calculation:
N(E_F)	0.4419	states/eV per atom
polymorph energy (0 for the lowest one)	0.000	eV/atom

Cell and atoms, written as extended XYZ:
```
5
Lattice="-0.321 -0.630 3.063 -2.945 -0.974 -0.509 1.078 -8.337 0.011" Properties=species:S:1:pos:R:3 pbc="T T T"
P -1.750 -5.057 0.389
Ag -1.009 -7.877 1.500
Ag -1.179 -2.065 1.065
P -0.438 -4.885 2.175
B 0.000 0.000 0.000
```


No. 3
Sr2Br2O7 | GGA-PBE | relaxed

Values from the calculation:
raw formation energy	-0.90	eV/atom

Cell and atoms, written as extended XYZ:
```
11
Lattice="-1.739 1.014 -3.965 -1.496 -6.666 0.670 -3.895 3.608 4.351" Properties=species:S:1:pos:R:3 pbc="T T T"
Br -2.570 0.219 -2.288
O -4.761 -1.145 0.092
O -4.740 -0.437 3.274
O 0.000 0.000 0.000
O -2.390 -1.607 -2.218
O -2.369 -0.899 0.964
O -4.012 -3.553 2.157
Sr -4.041 1.013 1.257
O -3.118 1.510 -1.101
Br -4.560 -2.263 3.344
Sr -3.090 -3.057 -0.201
```